1.
## LiZnO4 (PBE)

Data for a relaxed LiZnO4 crystal.

Properties
**VASP energy**: -27.4 eV per formula unit
**Space-group type**: No. 2
**Crystal system**: triclinic

Unit cell a=3.1362 b=9.0959 c=9.4995 alpha=73.11 beta=85.90 gamma=86.31
Last column: nearest neighbours and their distance in Å.
Fractional positions:
Li  0.0389  0.0212  0.3683  4 O 1.84-1.97
Li  0.0389  0.5225  0.8635  4 O 1.88-2.01
Li  0.9611  0.4775  0.1365  4 O 1.88-2.01
Li  0.9611  0.9788  0.6317  4 O 1.84-1.97
Zn  0.4051  0.2788  0.4786  4 O 1.88-2.09
Zn  0.4400  0.7770  0.9488  3 O 1.86-2.06
Zn  0.5600  0.2230  0.0512  3 O 1.86-2.06
Zn  0.5949  0.7212  0.5214  4 O 1.88-2.09
O  0.0448  0.3381  0.0238  2 Zn 1.86, 2 Li 1.88-1.91
O  0.0659  0.8363  0.5279  2 Li 1.84-1.91, 2 Zn 1.88-1.91
O  0.2230  0.6193  0.4052  1 O 1.33
O  0.3111  0.9269  0.0864  1 O 1.32
O  0.3373  0.6036  0.2722  2 O 1.33-1.44
O  0.4329  0.9583  0.7596  1 O 1.43
O  0.4390  0.4459  0.2746  1 O 1.44
O  0.4523  0.0987  0.7981  2 O 1.32-1.43
O  0.5477  0.9013  0.2019  2 O 1.32-1.43
O  0.5610  0.5541  0.7254  1 O 1.44
O  0.5671  0.0417  0.2404  1 O 1.43
O  0.6627  0.3964  0.7278  2 O 1.33-1.44
O  0.6889  0.0731  0.9136  1 O 1.32
O  0.7770  0.3807  0.5948  1 O 1.33
O  0.9341  0.1637  0.4721  2 Li 1.84-1.91, 2 Zn 1.88-1.91
O  0.9552  0.6619  0.9762  2 Zn 1.86, 2 Li 1.88-1.91

***

2.
## LiZnO4 (PBE)

Data for a relaxed LiZnO4 crystal.

Properties
**VASP energy**: -26.1 eV per formula unit
**Space-group type**: No. 13
**Crystal system**: monoclinic

Unit cell a=4.5997 b=5.4498 c=5.4746 alpha=90.00 beta=95.65 gamma=90.00
Last column: nearest neighbours and their distance in Å.
Fractional positions:
Li  0.0000  0.1910  0.2500  2 O 1.85
Li  0.0000  0.8090  0.7500  2 O 1.85
Zn  0.5000  0.4422  0.7500  4 O 1.90-1.98
Zn  0.5000  0.5578  0.2500  4 O 1.90-1.98
O  0.0348  0.1865  0.8650  1 O 1.27
O  0.0348  0.8135  0.3650  1 O 1.27
O  0.3139  0.3128  0.4524  1 Li 1.85, 2 Zn 1.90-1.98
O  0.3139  0.6872  0.9524  1 Li 1.85, 2 Zn 1.90-1.98
O  0.6861  0.3128  0.0476  1 Li 1.85, 2 Zn 1.90-1.98
O  0.6861  0.6872  0.5476  1 Li 1.85, 2 Zn 1.90-1.98
O  0.9652  0.1865  0.6350  1 O 1.27
O  0.9652  0.8135  0.1350  1 O 1.27